## LaSc3B4O12 (PBE-GGA)

Data for LaSc3B4O12 after structural relaxation.

Structure (POSCAR):
```
LaSc3B4O12
1.0
6.2347 0.0044 0.0056
-1.1764 6.1227 0.0056
-1.1764 -1.4250 5.9545
O B La Sc
12 4 1 3
Cartesian
-0.6062 0.5122 2.2489
1.7374 3.6594 5.9247
4.6417 2.8719 0.8149
4.4880 2.6351 4.9423
-0.7599 4.5807 2.9828
0.6177 2.3030 0.0410
2.1444 -0.2037 1.0234
0.8670 2.1439 3.8449
3.2641 5.2003 3.7168
1.9409 -0.3995 5.1508
3.0148 1.4645 2.9828
1.9409 3.4447 2.1208
-1.6983 1.6491 5.9041
1.9409 6.0573 0.0616
5.5801 -0.6533 2.9828
1.9409 2.3510 2.9828
0.0000 0.0000 0.0000
2.5624 3.0361 0.0056
-1.1764 2.3827 2.9533
2.4958 -0.7167 3.0068
```

Output
Crystal system = trigonal
Final energy = -169.24 eV per formula unit
Offset from the most stable computed form = 98 meV per atom
Space group = R32, No. 155
Fermi-level density of states = 0.000 states/eV/atom

***

## LaSc3B4O12 (PBE-GGA)

Data for LaSc3B4O12 after structural relaxation.

Structure (POSCAR):
```
LaSc3B4O12
1.0
-1.6866 -1.3267 -5.9449
6.2702 0.7143 -0.3485
3.3349 -11.7113 -0.4703
O Sc La B
24 6 2 8
Cartesian
3.9769 -5.0994 -2.1248
5.8561 -12.3460 -5.8529
3.7792 -0.9824 -3.3451
6.2076 -9.2056 -4.4518
1.7108 -3.1180 -2.3120
4.8525 -5.8113 -6.3825
6.0180 -6.0211 -4.3310
7.9647 -11.2963 -5.6015
3.0659 -6.5123 -0.3813
3.9415 -7.2242 -4.6390
4.1392 -11.3412 -3.4186
4.0574 -2.1458 -0.9448
-0.0463 -1.0273 -1.1623
3.8610 -10.1778 -5.8190
7.5456 -9.7938 -2.5140
4.2948 -8.7385 -1.9025
2.0818 -8.9360 -3.7422
0.3728 -2.5298 -4.2498
6.2250 -7.3119 -1.5416
5.8366 -3.3876 -3.0215
1.9003 -6.3025 -2.4328
1.6934 -5.0117 -5.2222
3.6236 -3.5851 -4.8612
2.0623 0.0224 -0.9109
3.7216 -3.0811 -2.8450
4.1430 -0.0609 -1.4589
1.8357 -6.9361 -4.4896
3.7754 -12.2627 -5.3049
6.0827 -5.3875 -2.2741
4.1968 -9.2425 -3.9188
-0.5757 -4.1834 -5.8675
8.4941 -8.1402 -0.8963
0.5664 -3.2282 -3.0771
5.3430 -8.2863 -1.1255
2.9915 -5.9503 -1.6464
7.3520 -9.0954 -3.6866
2.5754 -4.0373 -5.6383
3.6532 -0.4167 -4.6053
4.9269 -6.3733 -5.1174
4.2652 -11.9069 -2.1584
```

Output
Crystal system = monoclinic
Final energy = -171.19 eV per formula unit
Offset from the most stable computed form = 0 meV per atom
Space group = C2/c, No. 15
Fermi-level density of states = 0.000 states/eV/atom

***

## LaSiBO5 (PBE-GGA)

Data for LaSiBO5 after structural relaxation.

Structure (POSCAR):
```
LaSiBO5
1.0
-4.0786 1.1671 -5.5010
-2.7679 -2.2496 5.9612
-0.8768 6.3998 2.0079
Si B O La
3 3 15 3
Cartesian
-3.8593 4.9472 -2.3039
-6.4749 5.9579 0.9290
-2.3395 1.9431 0.3385
-4.3309 4.1451 4.4677
-2.6311 0.2107 2.5575
-4.0347 2.4004 2.5615
-5.5338 2.1588 2.5013
-3.2887 1.3320 3.2087
-4.8820 6.1169 -2.7610
-3.6309 -0.8186 2.3175
-3.7209 3.6446 3.2453
-3.7077 2.5469 1.0956
-5.9767 0.2249 0.3479
-3.5584 3.7997 5.7300
-1.3675 3.2385 0.3517
-1.8841 0.6496 1.3089
-2.8993 5.7599 -1.1958
-2.6102 1.2032 -1.0718
-5.1638 5.0179 0.8471
-5.5685 0.9041 -2.0772
-4.4785 3.5516 -1.7764
-3.4034 1.7562 -3.3003
-6.0431 2.7707 -0.0901
-2.7922 5.1451 1.3577
```

Output
Crystal system = trigonal
Final energy = -65.86 eV per formula unit
Space group = P3_1, No. 144
Fermi-level density of states = 0.000 states/eV/atom

***

| no. | ΔE_f (raw) (eV/atom) |
| --- | --- |
| 1 | -2.96 |
| 2 | -3.05 |
| 3 | -3.01 |